[1]
Computed, not measured: a geometry-optimized AlFe2 structure at the GGA-PBE level of DFT.

Cell and atoms, written as POSCAR:
```
AlFe2
1.0
-1.0221 0.2493 -3.1125
2.9817 -0.8944 -1.0508
-1.1334 -3.8530 0.0635
Fe Al
2 1
Direct
0.0000 0.5000 0.5000 Fe
0.5000 0.0000 0.5000 Fe
0.0000 0.0000 0.0000 Al
```

## Properties
SG: P4/mmm (123)
N(E_F) (states/eV per cell): 2.23
Formation energy (eV per atom): 0.2820
Raw total energy (eV per formula unit): -19.82

[2]
Computed, not measured: a geometry-optimized Al3Fe8 structure at the GGA-PBE level of DFT.

Cell and atoms, written as POSCAR:
```
Al3Fe8
1.0
-2.1516 -1.7390 -2.9844
1.2773 -3.4874 -1.6632
-5.1047 -6.4750 4.6787
Al Fe
3 8
Direct
0.0000 0.0000 0.0000 Al
0.5481 0.5481 0.3558 Al
0.4519 0.4519 0.6442 Al
0.6373 0.6373 0.0881 Fe
0.3627 0.3627 0.9119 Fe
0.7270 0.7270 0.8191 Fe
0.2730 0.2730 0.1809 Fe
0.8218 0.8218 0.5345 Fe
0.1782 0.1782 0.4655 Fe
0.9099 0.9099 0.2703 Fe
0.0901 0.0901 0.7297 Fe
```

## Properties
SG: R-3m (166)
N(E_F) (states/eV per cell): 8.25
Formation energy (eV per atom): -0.2117
Raw total energy (eV per formula unit): -81.26

What is the formula in the first record?
AlFe2